# 1
# CaZr2PdN | Alexandria | PBE-GGA | optimized geometry
data_CaZr2PdN
_chemical_formula_sum 'Ca1 Zr2 Pd1 N1'
_cell_length_a 4.427
_cell_length_b 4.427
_cell_length_c 4.836
_cell_angle_alpha 90.00
_cell_angle_beta 90.00
_cell_angle_gamma 90.00
_symmetry_space_group_name_H-M 'P 4/m m m'
_symmetry_Int_Tables_number 123
_symmetry_space_group_name_Hall '-P 4 2'
loop_
_atom_site_label
_atom_site_fract_x
_atom_site_fract_y
_atom_site_fract_z
Ca1 0.000 0.000 0.000
Zr1 0.000 0.500 0.500
Pd1 0.500 0.500 0.000
N1 0.000 0.000 0.500
# * mass density: 6.0 Mg/m³
# * Fermi-level density of states: 5.593 states/eV/cell
# * ΔE_f (raw): -692 meV/atom

***

# 2
# Tc2AgBiO8 | Alexandria | PBE-GGA | optimized geometry
data_Tc2AgBiO8
_chemical_formula_sum 'Tc2 Ag1 Bi1 O8'
_cell_length_a 6.0326
_cell_length_b 6.0326
_cell_length_c 6.8700
_cell_angle_alpha 90.00
_cell_angle_beta 90.00
_cell_angle_gamma 120.00
_symmetry_space_group_name_H-M 'P -3'
_symmetry_Int_Tables_number 147
loop_
_symmetry_equiv_pos_as_xyz
'x,y,z'
'-x,-y,-z'
'-y,x-y,z'
'y,-x+y,-z'
'-x+y,-x,z'
'x-y,x,-z'
loop_
_atom_site_label
_atom_site_fract_x
_atom_site_fract_y
_atom_site_fract_z
Tc1 0.3333 0.6667 0.3092
Ag1 0.0000 0.0000 0.5000
Bi1 0.0000 0.0000 0.0000
O1 0.1670 0.3371 0.2274
O2 0.3333 0.6667 0.5608
# * mass density: 4.9 Mg/m³
# * Fermi-level density of states: 5.830 states/eV/cell
# * ΔE_f (raw): -1089 meV/atom

***

# 3
# Pr3Ge3Au2 | Alexandria | PBE-GGA | optimized geometry
data_Pr3Ge3Au2
_chemical_formula_sum 'Pr12 Ge12 Au8'
_cell_length_a 4.501
_cell_length_b 11.130
_cell_length_c 14.978
_cell_angle_alpha 90.00
_cell_angle_beta 90.00
_cell_angle_gamma 90.00
_symmetry_space_group_name_H-M 'C m c m'
_symmetry_Int_Tables_number 63
_symmetry_space_group_name_Hall '-C 2c 2'
loop_
_atom_site_label
_atom_site_fract_x
_atom_site_fract_y
_atom_site_fract_z
Pr1 0.000 0.086 0.112
Pr2 0.000 0.364 0.250
Ge1 0.000 0.347 0.750
Ge2 0.000 0.394 0.041
Au1 0.000 0.208 0.597
# * mass density: 9.2 Mg/m³
# * Fermi-level density of states: 18.715 states/eV/cell
# * calculated formation energy: -0.785 eV per atom

***

Look up the mass density of the second one. 4.9 Mg/m³

***

mass density of number 1 (CaZr2PdN)? 6.0 Mg/m³

***

Look up the Fermi-level density of states of the third one. 18.715 states/eV/cell